Entry 1:
VASP calculation (PBE-GGA) on a relaxed KCrOs2 crystal.

Cell: 5.495 9.593 2.581 Å, 90.00 90.00 90.00°
Positions (direct):
K  0.000  0.000  0.000
K  0.500  0.500  0.000
Cr  0.000  0.500  0.000
Cr  0.500  0.000  0.000
Os  0.250  0.250  0.500
Os  0.250  0.750  0.500
Os  0.750  0.250  0.500
Os  0.750  0.750  0.500

Results
calculated formation energy = 1.490 eV per atom
energy above the lowest structure with this stoichiometry = 3.18 eV per formula unit

---

Entry 2:
VASP calculation (PBE-GGA) on a relaxed AgPd3Pb crystal.

Cell: 5.052 5.052 5.052 Å, 90.00 90.00 90.00°
Positions (direct):
Ag  0.000  0.000  0.000
Pd  0.000  0.500  0.500
Pd  0.500  0.000  0.500
Pd  0.500  0.500  0.000
Pb  0.500  0.500  0.500

Results
calculated formation energy = 0.766 eV per atom
energy above the lowest structure with this stoichiometry = 4.58 eV per formula unit

---

Entry 3:
VASP calculation (PBE-GGA) on a relaxed Si2MoIr crystal.

Cell: 9.019 2.877 4.461 Å, 90.00 107.00 90.00°
Positions (direct):
Si  0.000  0.000  0.000
Si  0.246  0.500  0.362
Si  0.500  0.500  0.000
Si  0.746  0.000  0.362
Mo  0.494  0.000  0.486
Mo  0.994  0.500  0.486
Ir  0.255  0.000  0.880
Ir  0.755  0.500  0.880

Results
VASP energy = -0.295 Ha/atom

---

Entry 4:
VASP calculation (PBE-GGA) on a relaxed Dy2TmTl2 crystal.

Cell: 3.743 5.352 14.087 Å, 90.00 97.66 90.00°
Positions (direct):
Dy  0.049  0.250  0.097
Dy  0.238  0.250  0.476
Dy  0.762  0.750  0.524
Dy  0.951  0.750  0.903
Tm  0.150  0.750  0.301
Tm  0.850  0.250  0.699
Tl  0.356  0.750  0.711
Tl  0.449  0.250  0.899
Tl  0.551  0.750  0.101
Tl  0.644  0.250  0.289

Results
calculated formation energy = -0.267 eV per atom
energy above the lowest structure with this stoichiometry = 0.00 eV per formula unit

---

Entry 5:
VASP calculation (PBE-GGA) on a relaxed SmTl2Zn crystal.

Cell: 4.658 4.658 4.610 Å, 90.00 90.00 90.00°
Positions (direct):
Sm  0.000  0.000  0.000
Tl  0.000  0.500  0.500
Tl  0.500  0.000  0.500
Zn  0.500  0.500  0.000

Results
calculated formation energy = -0.231 eV per atom

---

Entry 6:
VASP calculation (PBE-GGA) on a relaxed Nd2Y2Mg crystal.

Cell: 3.686 3.686 23.349 Å, 90.00 90.00 90.00°
Positions (direct):
Nd  0.000  0.000  0.194
Nd  0.000  0.000  0.806
Nd  0.500  0.500  0.306
Nd  0.500  0.500  0.694
Y  0.000  0.000  0.413
Y  0.000  0.000  0.587
Y  0.500  0.500  0.087
Y  0.500  0.500  0.913
Mg  0.000  0.000  0.000
Mg  0.500  0.500  0.500

Results
calculated formation energy = -0.029 eV per atom
energy above the lowest structure with this stoichiometry = 0.00 eV per formula unit

---

| no. | spin magnetization (μB/cell) |
| --- | --- |
| 1 | 5.87 |
| 2 | 0.00 |
| 3 | 0.00 |
| 4 | 0.00 |
| 5 | 0.00 |
| 6 | 0.00 |